## CdFeTe2 (GGA-PBE)

Data for crystalline CdFeTe2 at its relaxed geometry.

Properties
Its formation energy (no corrections) is 1.8 eV per formula unit. The density is 7.375 g cm⁻³. The calculation puts the density of states at the Fermi level at 3.51 states/eV/cell. As for the crystal system: orthorhombic. The calculation puts the magnetic moment at 3.206 μB per formula unit. The space-group type is Cmmm.

Lattice parameters (Å, degrees): 5.070 5.070 3.794 90.00 90.00 102.13
Each line ends with the local moment (μB).
Fractional coordinates of all 4 atoms:
Cd 0.500 0.000 0.500  -0.02
Fe 0.000 0.500 0.500  3.05
Te 0.000 0.000 0.000  0.03
Te 0.500 0.500 0.000  0.03